<i>
PrEr2Rh3 | the Alexandria database | PBE | optimized geometry; M_tot = 0.0 μB/f.u.
1.0
4.875 0.000 0.000
-2.438 4.222 0.000
0.000 0.000 6.014
Pr Er Rh
1 2 3
direct
0.000 0.000 0.000
0.333 0.667 0.661
0.667 0.333 0.339
0.000 0.000 0.500
0.333 0.667 0.181
0.667 0.333 0.819


<ii>
PrEr2Rh3 | the Alexandria database | PBE | optimized geometry; M_tot = 0.0 μB/f.u.
1.0
3.440 0.000 0.000
0.000 3.440 0.000
0.000 0.000 10.437
Pr Er Rh
1 2 3
direct
0.000 0.000 0.000
0.000 0.000 0.338
0.000 0.000 0.662
0.500 0.500 0.183
0.500 0.500 0.500
0.500 0.500 0.817


According to the calculations, the structures order from most to least stable as <ii>, <i>.


<i>
Pr2ErRh | the Alexandria database | PBE | optimized geometry; M_tot = 1.0 μB/f.u.
1.0
3.650 0.000 0.000
0.000 3.650 0.000
0.000 0.000 8.614
Pr Er Rh
2 1 1
direct
0.000 0.000 0.195
0.000 0.000 0.805
0.500 0.500 0.500
0.500 0.500 0.000


<ii>
Pr2ErRh | the Alexandria database | PBE | optimized geometry; M_tot = 0.0 μB/f.u.
1.0
1.863 1.076 10.679
-1.863 1.076 10.679
0.000 -2.151 10.679
Pr Er Rh
2 1 1
direct
0.109 0.109 0.109
0.891 0.891 0.891
0.000 0.000 0.000
0.500 0.500 0.500


According to the calculations, the structures order from most to least stable as <i>, <ii>.


<i>
PrErZnRh | the Alexandria database | PBE | optimized geometry; M_tot = 0.0 μB/f.u.
1.0
0.000 3.553 3.553
3.553 0.000 3.553
3.553 3.553 0.000
Pr Er Zn Rh
1 1 1 1
direct
0.000 0.000 0.000
0.500 0.500 0.500
0.250 0.250 0.250
0.750 0.750 0.750


<ii>
PrErZnRh | the Alexandria database | PBE | optimized geometry; M_tot = 0.0 μB/f.u.
1.0
4.397 0.000 0.000
0.000 1.976 5.387
0.000 -1.976 5.387
Pr Er Zn Rh
1 1 1 1
direct
0.000 0.000 0.000
0.500 0.719 0.719
0.500 0.423 0.423
0.000 0.278 0.278


According to the calculations, the structures order from most to least stable as <ii>, <i>.


<i>
PrEr3Ru | the Alexandria database | PBE | optimized geometry; M_tot = 0.1 μB/f.u.
1.0
5.373 0.000 0.000
0.000 5.373 0.000
0.000 0.000 5.373
Pr Er Ru
1 3 1
direct
0.000 0.000 0.000
0.000 0.500 0.500
0.500 0.000 0.500
0.500 0.500 0.000
0.500 0.500 0.500


<ii>
PrEr3Ru | the Alexandria database | PBE | optimized geometry; M_tot = 0.0 μB/f.u.
1.0
8.634 0.000 0.000
0.000 3.811 0.000
-1.794 0.000 8.459
Pr Er Ru
2 6 2
direct
0.172 0.250 0.017
0.828 0.750 0.983
0.029 0.750 0.663
0.338 0.750 0.393
0.419 0.750 0.814
0.581 0.250 0.186
0.662 0.250 0.607
0.971 0.250 0.337
0.258 0.250 0.597
0.742 0.750 0.403


According to the calculations, the structures order from most to least stable as <ii>, <i>.


<i>
Pr2ErRu | the Alexandria database | PBE | optimized geometry; M_tot = 0.0 μB/f.u.
1.0
1.811 1.046 10.682
-1.811 1.046 10.682
0.000 -2.091 10.682
Pr Er Ru
2 1 1
direct
0.106 0.106 0.106
0.894 0.894 0.894
0.000 0.000 0.000
0.500 0.500 0.500


<ii>
Pr2ErRu | the Alexandria database | PBE | optimized geometry; M_tot = 0.7 μB/f.u.
1.0
3.549 0.000 0.000
0.000 3.549 0.000
0.000 0.000 9.116
Pr Er Ru
2 1 1
direct
0.000 0.000 0.191
0.000 0.000 0.809
0.500 0.500 0.500
0.500 0.500 0.000


According to the calculations, the structures order from most to least stable as <ii>, <i>.


<i>
PrErRu | the Alexandria database | PBE | optimized geometry; M_tot = 0.0 μB/f.u.
1.0
-1.724 1.724 6.640
1.724 -1.724 6.640
1.724 1.724 -6.640
Pr Er Ru
1 1 1
direct
0.000 0.000 0.000
0.253 0.253 0.000
0.636 0.636 0.000


<ii>
PrErRu | the Alexandria database | PBE | optimized geometry; M_tot = 0.0 μB/f.u.
1.0
0.000 3.432 3.432
3.432 0.000 3.432
3.432 3.432 0.000
Pr Er Ru
1 1 1
direct
0.000 0.000 0.000
0.500 0.500 0.500
0.750 0.750 0.750


According to the calculations, the structures order from most to least stable as <i>, <ii>.